1.
# BaMg2Ag | OQMD | GGA-PBE | relaxed
# Electronic total energy (eV/atom): -1.9895
# Theoretical density (g/cm3): 4.28
data_BaMg2Ag
_cell_length_a 5.442
_cell_length_b 5.442
_cell_length_c 5.442
_cell_angle_alpha 60.00
_cell_angle_beta 60.00
_cell_angle_gamma 60.00
_space_group_name_H-M_alt 'P 1'
_space_group_IT_number 1
_space_group_name_Hall 'P 1'
loop_
_atom_site_label
_atom_site_type_symbol
_atom_site_fract_x
_atom_site_fract_y
_atom_site_fract_z
Mg1 Mg 0.250 0.250 0.250
Ba1 Ba 0.750 0.750 0.750
Ag1 Ag 0.500 0.500 0.500
Mg2 Mg 0.000 0.000 0.000


2.
# BaMg2Ag2 | OQMD | GGA-PBE | relaxed
# Electronic total energy (eV/atom): -2.3725
# Theoretical density (g/cm3): 4.98
data_BaMg2Ag2
_cell_length_a 7.176
_cell_length_b 7.176
_cell_length_c 7.176
_cell_angle_alpha 142.85
_cell_angle_beta 142.85
_cell_angle_gamma 53.55
_space_group_name_H-M_alt 'P 1'
_space_group_IT_number 1
_space_group_name_Hall 'P 1'
loop_
_atom_site_label
_atom_site_type_symbol
_atom_site_fract_x
_atom_site_fract_y
_atom_site_fract_z
Mg1 Mg 0.250 0.750 0.500
Ba1 Ba 0.000 0.000 0.000
Mg2 Mg 0.750 0.250 0.500
Ag1 Ag 0.384 0.384 0.000
Ag2 Ag 0.616 0.616 0.000


3.
# BaMg2AgPt | OQMD | GGA-PBE | relaxed
# Electronic total energy (eV/atom): -3.2834
# Theoretical density (g/cm3): 6.51
data_BaMg2AgPt
_cell_length_a 6.934
_cell_length_b 6.934
_cell_length_c 6.934
_cell_angle_alpha 142.14
_cell_angle_beta 142.14
_cell_angle_gamma 54.61
_space_group_name_H-M_alt 'P 1'
_space_group_IT_number 1
_space_group_name_Hall 'P 1'
loop_
_atom_site_label
_atom_site_type_symbol
_atom_site_fract_x
_atom_site_fract_y
_atom_site_fract_z
Ba1 Ba 0.006 0.006 0.000
Mg1 Mg 0.742 0.242 0.500
Ag1 Ag 0.388 0.388 0.000
Pt1 Pt 0.621 0.621 0.000
Mg2 Mg 0.242 0.742 0.500


4.
# BaMgAgSb2 | OQMD | GGA-PBE | relaxed
# Electronic total energy (eV/atom): -3.4012
# Theoretical density (g/cm3): 5.54
data_BaMgAgSb2
_cell_length_a 9.945
_cell_length_b 9.945
_cell_length_c 6.836
_cell_angle_alpha 90.00
_cell_angle_beta 90.00
_cell_angle_gamma 152.96
_space_group_name_H-M_alt 'P 1'
_space_group_IT_number 1
_space_group_name_Hall 'P 1'
loop_
_atom_site_label
_atom_site_type_symbol
_atom_site_fract_x
_atom_site_fract_y
_atom_site_fract_z
Sb1 Sb 0.678 0.322 0.018
Sb2 Sb 0.322 0.678 0.518
Mg1 Mg 0.898 0.102 0.442
Ag1 Ag 0.533 0.467 0.182
Ag2 Ag 0.467 0.533 0.682
Ba1 Ba 0.685 0.315 0.516
Sb3 Sb 0.041 0.959 0.499
Sb4 Sb 0.959 0.041 0.999
Ba2 Ba 0.315 0.685 0.016
Mg2 Mg 0.102 0.898 0.942


5.
# BaMg2SiAg | OQMD | GGA-PBE | relaxed
# Electronic total energy (eV/atom): -2.9496
# Theoretical density (g/cm3): 4.22
data_BaMg2SiAg
_cell_length_a 6.832
_cell_length_b 6.832
_cell_length_c 6.832
_cell_angle_alpha 140.76
_cell_angle_beta 140.76
_cell_angle_gamma 56.71
_space_group_name_H-M_alt 'P 1'
_space_group_IT_number 1
_space_group_name_Hall 'P 1'
loop_
_atom_site_label
_atom_site_type_symbol
_atom_site_fract_x
_atom_site_fract_y
_atom_site_fract_z
Ba1 Ba 0.993 0.993 0.000
Mg1 Mg 0.256 0.756 0.500
Si1 Si 0.386 0.386 0.000
Mg2 Mg 0.756 0.256 0.500
Ag1 Ag 0.609 0.609 0.000


6.
# BaMg2TlAg | OQMD | GGA-PBE | relaxed
# Electronic total energy (eV/atom): -2.2777
# Theoretical density (g/cm3): 5.74
data_BaMg2TlAg
_cell_length_a 7.310
_cell_length_b 7.310
_cell_length_c 7.310
_cell_angle_alpha 142.45
_cell_angle_beta 142.45
_cell_angle_gamma 54.15
_space_group_name_H-M_alt 'P 1'
_space_group_IT_number 1
_space_group_name_Hall 'P 1'
loop_
_atom_site_label
_atom_site_type_symbol
_atom_site_fract_x
_atom_site_fract_y
_atom_site_fract_z
Tl1 Tl 0.389 0.389 0.000
Ba1 Ba 0.003 0.003 0.000
Mg1 Mg 0.743 0.243 0.500
Ag1 Ag 0.621 0.621 0.000
Mg2 Mg 0.243 0.743 0.500